The following is a DFT calculation (PBE) of a geometry-optimized NaPmSb structure.

Unit cell a=4.238 b=4.238 c=9.547 alpha=90.00 beta=90.00 gamma=90.00
Space group I4mm (No. 107)
Symmetry-distinct sites (fractional):
Na  0.000  0.000  0.000 (multiplicity 2)
Pm  0.000  0.000  0.320 (multiplicity 2)
Sb  0.000  0.000  0.672 (multiplicity 2)

Computed properties:
- crystal system = tetragonal
- excess energy over the best structure of this formula in the dataset (meV per atom) = 125
- formation energy (no corrections) (eV/f.u.) = -1.27

=====

The following is a DFT calculation (PBE) of a geometry-optimized Na2TlSn6 structure.

Unit cell a=16.466 b=9.427 c=3.194 alpha=90.00 beta=90.71 gamma=90.00
Space group C2/m (No. 12)
Symmetry-distinct sites (fractional):
Na  0.166  0.000  0.001 (multiplicity 4)
Tl  0.000  0.500  0.000 (multiplicity 2)
Sn  0.000  0.166  0.500 (multiplicity 4)
Sn  0.168  0.333  0.503 (multiplicity 8)

Computed properties:
- crystal system = monoclinic
- formation energy (meV per atom) = -92.4